Entry from Alexandria: a relaxed structure of SrBe2Re (PBE).

abc: 3.1300 3.1611 6.5075
angles: 90.00 90.10 90.00
Positions (direct):
Sr (0.0000, 0.0000, 0.0000)
Be (0.5002, 0.5000, 0.3458)
Be (0.4998, 0.5000, 0.6542)
Re (0.0000, 0.0000, 0.5000)

Computed properties:
density	7.5	g/cm3
DFT formation energy	0.32	eV per atom
space-group type	No. 10
volume	16.1	Å³ per atom